No. 1
First-principles (PBE) data for a geometry-optimized Sm3Mg3GaPt2 structure, as listed in the Open Quantum Materials Database.

Calculated total energy ... -0.1658 hartree per atom

abc: 7.4889 7.4889 4.1855
angles: 90.00 90.00 120.00
Last column: nearest neighbours and their distance in Å.
Element x y z (fractional)
Mg (0.7505, 0.7505, 0.5000)  2 Ga 2.81, 2 Pt 2.86
Mg (0.0000, 0.2495, 0.5000)  2 Ga 2.81, 2 Pt 2.86
Mg (0.2495, 0.0000, 0.5000)  2 Ga 2.81, 2 Pt 2.86
Pt (0.6667, 0.3333, 0.5000)  3 Mg 2.86, 6 Sm 3.07
Pt (0.3333, 0.6667, 0.5000)  3 Mg 2.86, 6 Sm 3.07
Sm (0.0000, 0.5816, 0.0000)  4 Pt 3.07, 1 Ga 3.13, 2 Mg 3.25
Sm (0.4184, 0.4184, 0.0000)  4 Pt 3.07, 1 Ga 3.13, 2 Mg 3.25
Sm (0.5816, 0.0000, 0.0000)  4 Pt 3.07, 1 Ga 3.13, 2 Mg 3.25
Ga (0.0000, 0.0000, 0.0000)  6 Mg 2.81, 3 Sm 3.13

***

No. 2
First-principles (PBE) data for a geometry-optimized SrMg4GaPt2 structure, as listed in the Open Quantum Materials Database.

Calculated total energy ... -0.1238 hartree per atom

abc: 7.7213 5.6311 5.6311
angles: 46.73 90.00 90.00
Last column: nearest neighbours and their distance in Å.
Element x y z (fractional)
Ga (0.0000, 0.0572, 0.0572)  1 Pt 2.55
Sr (0.5000, 0.9364, 0.9364)  3 Pt 2.97-3.14
Mg (0.1868, 0.3366, 0.3366)  3 Pt 2.67-2.69, 1 Mg 2.88
Mg (0.8132, 0.3366, 0.3366)  3 Pt 2.67-2.69, 1 Mg 2.88
Mg (0.7182, 0.6498, 0.6498)  3 Pt 2.73-2.90, 2 Mg 3.04
Mg (0.2818, 0.6498, 0.6498)  3 Pt 2.73-2.90, 2 Mg 3.04
Pt (0.0000, 0.8101, 0.8101)  1 Ga 2.55, 6 Mg 2.67-2.73
Pt (0.5000, 0.2235, 0.2235)  6 Mg 2.69-2.90, 1 Sr 2.97

***

No. 3
First-principles (PBE) data for a geometry-optimized SrMgGa4Pt2 structure, as listed in the Open Quantum Materials Database.

Calculated total energy ... -0.1490 hartree per atom

abc: 7.0826 5.4491 5.4491
angles: 46.93 90.00 90.00
Last column: nearest neighbours and their distance in Å.
Element x y z (fractional)
Sr (0.0000, 0.0751, 0.0751)  3 Pt 2.86-3.05, 4 Ga 3.16
Pt (0.0000, 0.7891, 0.7891)  6 Ga 2.66-2.74, 1 Sr 2.86
Pt (0.5000, 0.2045, 0.2045)  6 Ga 2.61-2.63, 1 Mg 2.83
Ga (0.6891, 0.6397, 0.6397)  3 Pt 2.63-2.66, 2 Ga 2.68-2.84
Ga (0.7910, 0.3654, 0.3654)  3 Pt 2.61-2.74, 1 Ga 2.84
Ga (0.3109, 0.6397, 0.6397)  3 Pt 2.63-2.66, 2 Ga 2.68-2.84
Ga (0.2090, 0.3654, 0.3654)  3 Pt 2.61-2.74, 1 Ga 2.84
Mg (0.5000, 0.9213, 0.9213)  3 Pt 2.83-3.07, 6 Ga 3.04-3.12

***

No. 4
First-principles (PBE) data for a geometry-optimized TbMgGa2Pt4 structure, as listed in the Open Quantum Materials Database.

Calculated total energy ... -0.1960 hartree per atom

abc: 4.5771 4.5771 6.4925
angles: 90.00 90.00 90.00
Last column: nearest neighbours and their distance in Å.
Element x y z (fractional)
Mg (0.0000, 0.0000, 0.0000)  8 Pt 2.72
Pt (0.5000, 0.0000, 0.7723)  2 Mg 2.72, 4 Ga 2.72-2.89, 2 Tb 2.89, 1 Pt 2.96
Pt (0.0000, 0.5000, 0.2277)  4 Ga 2.72-2.89, 2 Mg 2.72, 2 Tb 2.89, 1 Pt 2.96
Pt (0.0000, 0.5000, 0.7723)  2 Mg 2.72, 4 Ga 2.72-2.89, 2 Tb 2.89, 1 Pt 2.96
Pt (0.5000, 0.0000, 0.2277)  2 Mg 2.72, 4 Ga 2.72-2.89, 2 Tb 2.89, 1 Pt 2.96
Tb (0.5000, 0.5000, 0.5000)  8 Pt 2.89, 4 Ga 3.24
Ga (0.0000, 0.0000, 0.5000)  8 Pt 2.89, 4 Tb 3.24
Ga (0.5000, 0.5000, 0.0000)  8 Pt 2.72

***

No. 5
First-principles (PBE) data for a geometry-optimized TmMgGa4Pt2 structure, as listed in the Open Quantum Materials Database.

Calculated total energy ... -0.1665 hartree per atom

abc: 6.8834 5.3436 5.3436
angles: 46.79 90.00 90.00
Last column: nearest neighbours and their distance in Å.
Element x y z (fractional)
Pt (0.5000, 0.2040, 0.2040)  6 Ga 2.60-2.61, 1 Mg 2.77
Pt (0.0000, 0.7916, 0.7916)  6 Ga 2.60-2.66, 1 Tm 2.81
Mg (0.5000, 0.9214, 0.9214)  3 Pt 2.77-3.01, 4 Ga 2.99
Ga (0.3035, 0.6339, 0.6339)  3 Pt 2.60-2.61, 2 Ga 2.69-2.71
Ga (0.6965, 0.6339, 0.6339)  3 Pt 2.60-2.61, 2 Ga 2.69-2.71
Ga (0.7957, 0.3685, 0.3685)  3 Pt 2.60-2.66, 2 Ga 2.69-2.81
Ga (0.2043, 0.3685, 0.3685)  3 Pt 2.60-2.66, 2 Ga 2.69-2.81
Tm (0.0000, 0.0782, 0.0782)  3 Pt 2.81-2.98, 4 Ga 3.03

***

No. 6
First-principles (PBE) data for a geometry-optimized Tm3Mg3GaPt2 structure, as listed in the Open Quantum Materials Database.

Calculated total energy ... -0.1639 hartree per atom

abc: 7.3185 7.3185 4.1020
angles: 90.00 90.00 120.00
Last column: nearest neighbours and their distance in Å.
Element x y z (fractional)
Tm (0.4200, 0.4200, 0.0000)  4 Pt 3.00, 1 Ga 3.07, 2 Mg 3.17
Tm (0.5800, 0.0000, 0.0000)  4 Pt 3.00, 1 Ga 3.07, 2 Mg 3.17
Tm (0.0000, 0.5800, 0.0000)  4 Pt 3.00, 1 Ga 3.07, 2 Mg 3.17
Mg (0.7510, 0.7510, 0.5000)  2 Ga 2.74, 2 Pt 2.80
Mg (0.2490, 0.0000, 0.5000)  2 Ga 2.74, 2 Pt 2.80
Mg (0.0000, 0.2490, 0.5000)  2 Ga 2.74, 2 Pt 2.80
Pt (0.6667, 0.3333, 0.5000)  3 Mg 2.80, 6 Tm 3.00
Pt (0.3333, 0.6667, 0.5000)  3 Mg 2.80, 6 Tm 3.00
Ga (0.0000, 0.0000, 0.0000)  6 Mg 2.74

***

No. 7
First-principles (PBE) data for a geometry-optimized Tm3Mg3Ga2Pt structure, as listed in the Open Quantum Materials Database.

Calculated total energy ... -0.1470 hartree per atom

abc: 7.2209 7.2209 4.2990
angles: 90.00 90.00 120.00
Last column: nearest neighbours and their distance in Å.
Element x y z (fractional)
Pt (0.0000, 0.0000, 0.0000)  6 Mg 2.76, 3 Tm 2.96
Mg (0.0000, 0.2406, 0.5000)  2 Pt 2.76, 2 Ga 2.80, 2 Mg 3.01
Mg (0.2406, 0.0000, 0.5000)  2 Pt 2.76, 2 Ga 2.80, 2 Mg 3.01
Mg (0.7594, 0.7594, 0.5000)  2 Pt 2.76, 2 Ga 2.80, 2 Mg 3.01
Tm (0.5895, 0.0000, 0.0000)  1 Pt 2.96, 4 Ga 3.06, 2 Mg 3.31
Tm (0.0000, 0.5895, 0.0000)  1 Pt 2.96, 4 Ga 3.06, 2 Mg 3.31
Tm (0.4105, 0.4105, 0.0000)  1 Pt 2.96, 4 Ga 3.06, 2 Mg 3.31
Ga (0.3333, 0.6667, 0.5000)  3 Mg 2.80, 6 Tm 3.06
Ga (0.6667, 0.3333, 0.5000)  3 Mg 2.80, 6 Tm 3.06

***

No. 8
First-principles (PBE) data for a geometry-optimized Y3Mg3GaPt2 structure, as listed in the Open Quantum Materials Database.

Calculated total energy ... -0.1881 hartree per atom

abc: 7.4339 7.4339 4.1202
angles: 90.00 90.00 120.00
Last column: nearest neighbours and their distance in Å.
Element x y z (fractional)
Y (0.5847, 0.0000, 0.5000)  4 Pt 3.04, 1 Ga 3.09, 6 Mg 3.23-3.39
Y (0.4153, 0.4153, 0.5000)  4 Pt 3.04, 1 Ga 3.09, 6 Mg 3.23-3.39
Y (0.0000, 0.5847, 0.5000)  4 Pt 3.04, 1 Ga 3.09, 6 Mg 3.23-3.39
Pt (0.3333, 0.6667, 0.0000)  3 Mg 2.84, 6 Y 3.04
Pt (0.6667, 0.3333, 0.0000)  3 Mg 2.84, 6 Y 3.04
Mg (0.2501, 0.0000, 0.0000)  2 Ga 2.78, 2 Pt 2.84
Mg (0.0000, 0.2501, 0.0000)  2 Ga 2.78, 2 Pt 2.84
Mg (0.7499, 0.7499, 0.0000)  2 Ga 2.78, 2 Pt 2.84
Ga (0.0000, 0.0000, 0.5000)  6 Mg 2.78, 3 Y 3.09